[1]
The following is a DFT calculation (GGA-PBE) of an optimized crystal structure of CoReRh.

abc: 5.7809 5.7809 5.7809
angles: 90.00 90.00 90.00
Space group F-43m (No. 216)
Unique sites:
Co1 0.0000 0.0000 0.0000
Re1 0.0000 0.0000 0.5000
Rh1 0.2500 0.2500 0.7500

Calculated values
- Electronic total energy: -8.215 eV/atom
- Energy of formation from the pure elements: 754 meV per atom

[2]
The following is a DFT calculation (GGA-PBE) of an optimized crystal structure of CoReRh.

abc: 5.7454 5.7454 5.7454
angles: 90.00 90.00 90.00
Space group F-43m (No. 216)
Unique sites:
Co1 0.0000 0.0000 0.0000
Re1 0.2500 0.2500 0.2500
Rh1 0.0000 0.0000 0.5000

Calculated values
- Electronic total energy: -8.413 eV/atom
- Energy of formation from the pure elements: 556 meV per atom

[3]
The following is a DFT calculation (GGA-PBE) of an optimized crystal structure of CoReRh2.

abc: 4.5535 4.5535 2.7125
angles: 90.00 90.00 90.00
Space group P4/mmm (No. 123)
Unique sites:
Co1 0.0000 0.0000 0.0000
Re1 0.5000 0.5000 0.0000
Rh1 0.0000 0.5000 0.5000

Calculated values
- Electronic total energy: -8.279 eV/atom
- Energy of formation from the pure elements: 285 meV per atom

[4]
The following is a DFT calculation (GGA-PBE) of an optimized crystal structure of CoReRh2.

abc: 8.8543 2.6980 4.6478
angles: 90.00 100.45 90.00
Space group Cm (No. 8)
Unique sites:
Co1 0.0000 0.0000 0.0000
Re1 0.2553 0.0000 0.7476
Rh1 0.0039 0.5000 0.5137
Rh2 0.2483 0.5000 0.2321

Calculated values
- Electronic total energy: -8.534 eV/atom
- Energy of formation from the pure elements: 30 meV per atom

Number 1: theoretical density 12.0 g cm⁻³. Number 2: theoretical density 12.2 g cm⁻³. Number 3: theoretical density 13.3 g cm⁻³. Number 4: theoretical density 13.7 g cm⁻³.